A plane-wave DFT calculation with PBE-GGA was carried out for crystalline PtSe2O6 at its relaxed geometry.

Cell lengths 7.268, 7.268, 7.268 Å; angles 39.13, 39.13, 39.13 degrees
Atoms (fractional coordinates):
Pt: 0.000 0.000 0.000
Se: 0.572 0.572 0.572
Se: 0.762 0.762 0.762
O: 0.059 0.735 0.393
O: 0.268 0.610 0.934
O: 0.393 0.059 0.735
O: 0.610 0.934 0.268
O: 0.735 0.393 0.059
O: 0.934 0.268 0.610

Results
Formation energy (no corrections) = -531 meV per atom
Total DFT energy (no corrections) = -0.3882 Ry per atom